# 1
GaNiPb3 | GGA-PBE | optimized geometry

Results
* formation energy: 0.216 eV/atom
* energy relative to the lowest polymorph listed for this composition: 0.000 eV/atom
* density: 8.98 Mg/m³
* symmetry: Pm-3m, No. 221
* total magnetic moment: 0.00 μB/f.u.

abc: 5.1756 5.1756 5.1756
angles: 90.00 90.00 90.00
Element x y z (fractional)
1 Ga 0.5000 0.5000 0.5000
2 Pb 0.5000 0.0000 0.0000
3 Pb 0.0000 0.0000 0.5000
4 Pb 0.0000 0.5000 0.0000
5 Ni 0.0000 0.0000 0.0000

# 2
AcAu2O4 | GGA-PBE | optimized geometry

Results
* formation energy from raw total energies: -110 kJ/mol of atoms
* energy relative to the lowest polymorph listed for this composition: 0.157 eV/atom
* density: 9.55 Mg/m³
* symmetry: C2/m, No. 12
* total magnetic moment: 0.00 μB/f.u.

abc: 4.1655 6.9561 4.1655
angles: 96.51 90.05 83.49
Element x y z (fractional)
1 O 0.9584 0.2262 0.5426
2 O 0.0416 0.7738 0.4574
3 O 0.5426 0.7738 0.9584
4 O 0.4574 0.2262 0.0416
5 Ac 0.0000 0.0000 0.0000
6 Au 0.5545 0.7096 0.4455
7 Au 0.4455 0.2904 0.5545

# 3
KGaRu2C | GGA-PBE | optimized geometry

Results
* formation energy: 1.914 eV/atom
* density: 5.85 Mg/m³
* symmetry: P4/mmm, No. 123
* total magnetic moment: 2.36 μB/f.u.

abc: 4.8563 3.8844 4.8563
angles: 90.00 90.00 90.00
Last column: magnetic moment on the atom in μB.
Element x y z (fractional)
1 Ga 0.0000 0.0000 0.0000  -0.03
2 Ru 0.5000 0.0000 0.0000  1.12
3 Ru 0.0000 0.0000 0.5000  1.17
4 K 0.5000 0.5000 0.5000  0.00
5 C 0.0000 0.5000 0.0000  -0.03

# 4
Dy9HoTl2 | GGA-PBE | optimized geometry

Results
* formation energy: -0.110 eV/atom
* density: 9.54 Mg/m³
* symmetry: P4/mmm, No. 123
* total magnetic moment: 0.00 μB/f.u.

abc: 4.8661 4.8661 14.9649
angles: 90.00 90.00 90.00
Element x y z (fractional)
1 Dy 0.0000 0.5000 0.1712
2 Dy 0.5000 0.0000 0.5000
3 Dy 0.0000 0.5000 0.8288
4 Dy 0.5000 0.5000 0.6634
5 Dy 0.5000 0.5000 0.0000
6 Dy 0.5000 0.0000 0.1712
7 Dy 0.0000 0.5000 0.5000
8 Dy 0.5000 0.0000 0.8288
9 Dy 0.5000 0.5000 0.3366
10 Ho 0.0000 0.0000 0.0000
11 Tl 0.0000 0.0000 0.3398
12 Tl 0.0000 0.0000 0.6602

# 5
Mg4In2Pb3 | GGA-PBE | optimized geometry

Results
* formation energy: -0.003 eV/atom
* density: 6.50 Mg/m³
* symmetry: P2_1/c, No. 14
* total magnetic moment: 0.00 μB/f.u.

abc: 7.0272 8.3977 8.5656
angles: 90.00 90.00 106.53
Element x y z (fractional)
1 Pb 0.0000 0.5000 0.5000
2 Pb 0.5000 0.5000 0.0000
3 Pb 0.3338 0.2819 0.6565
4 Pb 0.6662 0.7181 0.3435
5 Pb 0.8338 0.2819 0.8435
6 Pb 0.1662 0.7181 0.1565
7 Mg 0.7949 0.3593 0.1979
8 Mg 0.8830 0.1275 0.5071
9 Mg 0.2051 0.6407 0.8021
10 Mg 0.3830 0.1275 0.9929
11 Mg 0.1170 0.8725 0.4929
12 Mg 0.7051 0.6407 0.6979
13 Mg 0.6170 0.8725 0.0071
14 Mg 0.2949 0.3593 0.3021
15 In 0.9904 0.0538 0.1773
16 In 0.5096 0.9462 0.6773
17 In 0.4904 0.0538 0.3227
18 In 0.0096 0.9462 0.8227

# 6
Sr2GaCo | GGA-PBE | optimized geometry

Results
* formation energy: 0.032 eV/atom
* density: 3.68 Mg/m³
* symmetry: I-42d, No. 122
* total magnetic moment: 0.00 μB/f.u.

abc: 10.9100 10.9100 8.0508
angles: 47.35 47.35 90.00
Element x y z (fractional)
1 Sr 0.3064 0.6250 0.2500
2 Sr 0.8750 0.6936 0.7500
3 Sr 0.3750 0.5564 0.7500
4 Sr 0.4436 0.1250 0.2500
5 Ga 0.7500 0.2500 0.5000
6 Ga 0.0000 0.0000 0.0000
7 Co 0.2500 0.7500 0.5000
8 Co 0.5000 0.5000 0.0000